[1]
## Ca4PPb (PBE)

Data for an optimized crystal structure of Ca4PPb.

```
Ca4PPb
1.0
0.0000 4.5367 4.5367
4.5367 0.0000 4.5367
4.5367 4.5367 0.0000
P Pb Ca
1 1 4
Cartesian
6.8051 6.8051 6.8051
0.0000 0.0000 0.0000
3.4054 5.6680 5.6680
5.6680 5.6680 3.4054
3.4054 3.4054 3.4054
5.6680 3.4054 5.6680
```

Results
Energy of formation = 0.265 eV/atom
D(E_F) = 7.4 states/eV/cell
Relative energy among the computed polymorphs = 0.936 eV per atom
Volume = 31.1 Å³ per atom

---

[2]
## CaP3Pb (PBE)

Data for an optimized crystal structure of CaP3Pb.

```
CaP3Pb
1.0
5.1793 0.0000 0.0000
0.0000 5.1793 0.0000
0.0000 0.0000 5.1793
P Pb Ca
3 1 1
Cartesian
2.5896 0.0000 0.0000
0.0000 2.5896 0.0000
0.0000 0.0000 2.5896
2.5896 2.5896 2.5896
0.0000 0.0000 0.0000
```

Results
Energy of formation = 0.791 eV/atom
D(E_F) = 4.6 states/eV/cell
Relative energy among the computed polymorphs = 0.127 eV per atom
Volume = 27.8 Å³ per atom

---

[3]
## CaPPb (PBE)

Data for an optimized crystal structure of CaPPb.

```
CaPPb
1.0
3.2754 3.0728 -1.6975
-4.0369 -0.8119 -2.4691
-3.7013 6.1679 4.0234
Pb Ca P
2 2 2
Cartesian
-2.5248 2.0250 -1.2060
-1.9380 6.4038 1.0628
0.0000 0.0000 0.0000
-1.8506 3.0839 2.0117
-0.0874 3.3199 -0.9489
-4.3754 5.1089 0.8056
```

Results
Energy of formation = -0.260 eV/atom
D(E_F) = 3.5 states/eV/cell
Volume = 27.4 Å³ per atom

---

[4]
## CaP4Pb (PBE)

Data for an optimized crystal structure of CaP4Pb.

```
CaP4Pb
1.0
0.0000 3.9553 3.9553
3.9553 0.0000 3.9553
3.9553 3.9553 0.0000
P Pb Ca
4 1 1
Cartesian
3.1032 3.1032 3.1032
3.1032 4.8073 4.8073
4.8073 3.1032 4.8073
4.8073 4.8073 3.1032
5.9329 5.9329 5.9329
0.0000 0.0000 0.0000
```

Results
Energy of formation = 0.093 eV/atom
D(E_F) = 2.4 states/eV/cell
Volume = 20.6 Å³ per atom